LuMg3 after structural relaxation. Source: Alexandria via LeMat-Bulk, functional PBE-GGA.

a = 4.9827 Å, b = 4.9827 Å, c = 3.9598 Å
α = 90.00°, β = 90.00°, γ = 90.00°
With the nearest neighbours (Å) after each atom.
Atoms (fractional coordinates):
Lu 0.0000 0.0000 0.0000  12 Mg 3.18-3.52
Mg 0.0000 0.5000 0.5000  8 Mg 3.18-3.52, 4 Lu 3.18
Mg 0.5000 0.0000 0.5000  8 Mg 3.18-3.52, 4 Lu 3.18
Mg 0.5000 0.5000 0.0000  8 Mg 3.18, 4 Lu 3.52

Calculated values
Formation energy ... -20 meV/atom
SG ... P4/mmm
Volume ... 24.58 Å³/atom

---

LuMg after structural relaxation. Source: Alexandria via LeMat-Bulk, functional PBE-GGA.

a = 3.7305 Å, b = 3.7305 Å, c = 3.7305 Å
α = 90.00°, β = 90.00°, γ = 90.00°
With the nearest neighbours (Å) after each atom.
Atoms (fractional coordinates):
Lu 0.0000 0.0000 0.0000  8 Mg 3.23
Mg 0.5000 0.5000 0.5000  8 Lu 3.23

Calculated values
Formation energy ... -49 meV/atom
SG ... Pm-3m
Volume ... 25.96 Å³/atom

---

Lu3Mg after structural relaxation. Source: Alexandria via LeMat-Bulk, functional PBE-GGA.

a = 4.8895 Å, b = 4.8895 Å, c = 9.3004 Å
α = 90.00°, β = 90.00°, γ = 90.00°
With the nearest neighbours (Å) after each atom.
Atoms (fractional coordinates):
Lu 0.0000 0.0000 0.0000  8 Lu 3.37, 4 Mg 3.46
Lu 0.0000 0.5000 0.2500  4 Mg 3.37, 8 Lu 3.37-3.46
Lu 0.0000 0.5000 0.7500  4 Mg 3.37, 8 Lu 3.37-3.46
Lu 0.5000 0.0000 0.2500  4 Mg 3.37, 8 Lu 3.37-3.46
Lu 0.5000 0.0000 0.7500  4 Mg 3.37, 8 Lu 3.37-3.46
Lu 0.5000 0.5000 0.5000  8 Lu 3.37, 4 Mg 3.46
Mg 0.0000 0.0000 0.5000  12 Lu 3.37-3.46
Mg 0.5000 0.5000 0.0000  12 Lu 3.37-3.46

Calculated values
Formation energy ... 55 meV/atom
SG ... I4/mmm
Volume ... 27.79 Å³/atom

---

Lu5Mg24 after structural relaxation. Source: Alexandria via LeMat-Bulk, functional PBE-GGA.

a = 9.6834 Å, b = 9.6834 Å, c = 9.6834 Å
α = 109.47°, β = 109.47°, γ = 109.47°
With the nearest neighbours (Å) after each atom.
Atoms (fractional coordinates):
Lu 0.0000 0.0000 0.0000  12 Mg 3.45, 4 Lu 3.61
Lu 0.0000 0.0000 0.6273  12 Mg 3.20-3.55
Lu 0.0000 0.6273 0.0000  12 Mg 3.20-3.55
Lu 0.3727 0.3727 0.3727  12 Mg 3.20-3.55
Lu 0.6273 0.0000 0.0000  12 Mg 3.20-3.55
Mg 0.0000 0.1907 0.3708  6 Mg 2.85-3.15
Mg 0.0000 0.3708 0.1907  6 Mg 2.85-3.15
Mg 0.0000 0.3897 0.6776  5 Mg 2.95-3.31, 1 Lu 3.20
Mg 0.0000 0.6776 0.3897  5 Mg 2.95-3.31, 1 Lu 3.20
Mg 0.1801 0.8093 0.8093  6 Mg 2.85-3.15
Mg 0.1907 0.0000 0.3708  6 Mg 2.85-3.15
Mg 0.1907 0.3708 0.0000  6 Mg 2.85-3.15
Mg 0.2879 0.6103 0.6103  5 Mg 2.95-3.31, 1 Lu 3.20
Mg 0.3224 0.3224 0.7121  5 Mg 2.95-3.31, 1 Lu 3.20
Mg 0.3224 0.7121 0.3224  5 Mg 2.95-3.31, 1 Lu 3.20
Mg 0.3708 0.0000 0.1907  6 Mg 2.85-3.15
Mg 0.3708 0.1907 0.0000  6 Mg 2.85-3.15
Mg 0.3897 0.0000 0.6776  5 Mg 2.95-3.31, 1 Lu 3.20
Mg 0.3897 0.6776 0.0000  5 Mg 2.95-3.31, 1 Lu 3.20
Mg 0.6103 0.2879 0.6103  5 Mg 2.95-3.31, 1 Lu 3.20
Mg 0.6103 0.6103 0.2879  5 Mg 2.95-3.31, 1 Lu 3.20
Mg 0.6292 0.6292 0.8199  6 Mg 2.85-3.15
Mg 0.6292 0.8199 0.6292  6 Mg 2.85-3.15
Mg 0.6776 0.0000 0.3897  5 Mg 2.95-3.31, 1 Lu 3.20
Mg 0.6776 0.3897 0.0000  5 Mg 2.95-3.31, 1 Lu 3.20
Mg 0.7121 0.3224 0.3224  5 Mg 2.95-3.31, 1 Lu 3.20
Mg 0.8093 0.1801 0.8093  6 Mg 2.85-3.15
Mg 0.8093 0.8093 0.1801  6 Mg 2.85-3.15
Mg 0.8199 0.6292 0.6292  6 Mg 2.85-3.15

Calculated values
Formation energy ... -27 meV/atom
SG ... I-43m
Volume ... 24.10 Å³/atom

---

LuMgMn after structural relaxation. Source: Alexandria via LeMat-Bulk, functional PBE-GGA.

a = 3.2940 Å, b = 3.2940 Å, c = 11.7779 Å
α = 90.00°, β = 90.00°, γ = 90.00°
With the nearest neighbours (Å) after each atom.
Atoms (fractional coordinates):
Lu 0.0000 0.0000 0.0000  4 Mn 2.92
Lu 0.5000 0.5000 0.5000  4 Mn 2.92
Mg 0.0000 0.0000 0.7089  4 Mn 2.86
Mg 0.5000 0.5000 0.2089  4 Mn 2.86
Mn 0.0000 0.0000 0.3504  4 Mg 2.86, 4 Lu 2.92
Mn 0.5000 0.5000 0.8504  4 Mg 2.86, 4 Lu 2.92

Calculated values
Formation energy ... 116 meV/atom
SG ... I4mm
Volume ... 21.30 Å³/atom

---

PmLuMgMn after structural relaxation. Source: Alexandria via LeMat-Bulk, functional PBE-GGA.

a = 7.3361 Å, b = 7.3361 Å, c = 7.3361 Å
α = 90.00°, β = 90.00°, γ = 90.00°
With the nearest neighbours (Å) after each atom.
Atoms (fractional coordinates):
Pm 0.0000 0.0000 0.0000  4 Mn 3.18, 4 Mg 3.18
Pm 0.0000 0.5000 0.5000  4 Mn 3.18, 4 Mg 3.18
Pm 0.5000 0.0000 0.5000  4 Mn 3.18, 4 Mg 3.18
Pm 0.5000 0.5000 0.0000  4 Mn 3.18, 4 Mg 3.18
Lu 0.0000 0.0000 0.5000  4 Mg 3.18, 4 Mn 3.18
Lu 0.0000 0.5000 0.0000  4 Mg 3.18, 4 Mn 3.18
Lu 0.5000 0.0000 0.0000  4 Mg 3.18, 4 Mn 3.18
Lu 0.5000 0.5000 0.5000  4 Mg 3.18, 4 Mn 3.18
Mg 0.2500 0.2500 0.7500  4 Pm 3.18, 4 Lu 3.18
Mg 0.2500 0.7500 0.2500  4 Pm 3.18, 4 Lu 3.18
Mg 0.7500 0.2500 0.2500  4 Pm 3.18, 4 Lu 3.18
Mg 0.7500 0.7500 0.7500  4 Pm 3.18, 4 Lu 3.18
Mn 0.2500 0.2500 0.2500  4 Lu 3.18, 4 Pm 3.18
Mn 0.2500 0.7500 0.7500  4 Lu 3.18, 4 Pm 3.18
Mn 0.7500 0.2500 0.7500  4 Lu 3.18, 4 Pm 3.18
Mn 0.7500 0.7500 0.2500  4 Lu 3.18, 4 Pm 3.18

Calculated values
Formation energy ... 106 meV/atom
SG ... F-43m
Volume ... 24.68 Å³/atom

---

PrLuMgMn after structural relaxation. Source: Alexandria via LeMat-Bulk, functional PBE-GGA.

a = 7.3949 Å, b = 7.3949 Å, c = 7.3949 Å
α = 90.00°, β = 90.00°, γ = 90.00°
With the nearest neighbours (Å) after each atom.
Atoms (fractional coordinates):
Pr 0.0000 0.0000 0.0000  4 Mn 3.20, 4 Mg 3.20
Pr 0.0000 0.5000 0.5000  4 Mg 3.20, 4 Mn 3.20
Pr 0.5000 0.0000 0.5000  4 Mg 3.20, 4 Mn 3.20
Pr 0.5000 0.5000 0.0000  4 Mg 3.20, 4 Mn 3.20
Lu 0.0000 0.0000 0.5000  4 Mn 3.20, 4 Mg 3.20
Lu 0.0000 0.5000 0.0000  4 Mn 3.20, 4 Mg 3.20
Lu 0.5000 0.0000 0.0000  4 Mn 3.20, 4 Mg 3.20
Lu 0.5000 0.5000 0.5000  4 Mn 3.20, 4 Mg 3.20
Mg 0.2500 0.2500 0.2500  4 Lu 3.20, 4 Pr 3.20
Mg 0.2500 0.7500 0.7500  4 Lu 3.20, 4 Pr 3.20
Mg 0.7500 0.2500 0.7500  4 Lu 3.20, 4 Pr 3.20
Mg 0.7500 0.7500 0.2500  4 Lu 3.20, 4 Pr 3.20
Mn 0.2500 0.2500 0.7500  4 Pr 3.20, 4 Lu 3.20
Mn 0.2500 0.7500 0.2500  4 Pr 3.20, 4 Lu 3.20
Mn 0.7500 0.2500 0.2500  4 Pr 3.20, 4 Lu 3.20
Mn 0.7500 0.7500 0.7500  4 Pr 3.20, 4 Lu 3.20

Calculated values
Formation energy ... 117 meV/atom
SG ... F-43m
Volume ... 25.27 Å³/atom

---

LuMgMnRh after structural relaxation. Source: Alexandria via LeMat-Bulk, functional PBE-GGA.

a = 6.5812 Å, b = 6.5812 Å, c = 6.5812 Å
α = 90.00°, β = 90.00°, γ = 90.00°
With the nearest neighbours (Å) after each atom.
Atoms (fractional coordinates):
Lu 0.0000 0.0000 0.0000  4 Mn 2.85, 4 Rh 2.85
Lu 0.0000 0.5000 0.5000  4 Mn 2.85, 4 Rh 2.85
Lu 0.5000 0.0000 0.5000  4 Mn 2.85, 4 Rh 2.85
Lu 0.5000 0.5000 0.0000  4 Mn 2.85, 4 Rh 2.85
Mg 0.0000 0.0000 0.5000  4 Rh 2.85, 4 Mn 2.85
Mg 0.0000 0.5000 0.0000  4 Rh 2.85, 4 Mn 2.85
Mg 0.5000 0.0000 0.0000  4 Rh 2.85, 4 Mn 2.85
Mg 0.5000 0.5000 0.5000  4 Rh 2.85, 4 Mn 2.85
Mn 0.2500 0.2500 0.2500  4 Mg 2.85, 4 Lu 2.85
Mn 0.2500 0.7500 0.7500  4 Mg 2.85, 4 Lu 2.85
Mn 0.7500 0.2500 0.7500  4 Mg 2.85, 4 Lu 2.85
Mn 0.7500 0.7500 0.2500  4 Mg 2.85, 4 Lu 2.85
Rh 0.2500 0.2500 0.7500  4 Lu 2.85, 4 Mg 2.85
Rh 0.2500 0.7500 0.2500  4 Lu 2.85, 4 Mg 2.85
Rh 0.7500 0.2500 0.2500  4 Lu 2.85, 4 Mg 2.85
Rh 0.7500 0.7500 0.7500  4 Lu 2.85, 4 Mg 2.85

Calculated values
Formation energy ... -283 meV/atom
SG ... F-43m
Volume ... 17.82 Å³/atom

---

LuMgMnRu after structural relaxation. Source: Alexandria via LeMat-Bulk, functional PBE-GGA.

a = 6.5490 Å, b = 6.5490 Å, c = 6.5490 Å
α = 90.00°, β = 90.00°, γ = 90.00°
With the nearest neighbours (Å) after each atom.
Atoms (fractional coordinates):
Lu 0.0000 0.0000 0.0000  4 Mn 2.84, 4 Ru 2.84
Lu 0.0000 0.5000 0.5000  4 Mn 2.84, 4 Ru 2.84
Lu 0.5000 0.0000 0.5000  4 Mn 2.84, 4 Ru 2.84
Lu 0.5000 0.5000 0.0000  4 Mn 2.84, 4 Ru 2.84
Mg 0.0000 0.0000 0.5000  4 Ru 2.84, 4 Mn 2.84
Mg 0.0000 0.5000 0.0000  4 Ru 2.84, 4 Mn 2.84
Mg 0.5000 0.0000 0.0000  4 Ru 2.84, 4 Mn 2.84
Mg 0.5000 0.5000 0.5000  4 Ru 2.84, 4 Mn 2.84
Mn 0.2500 0.2500 0.2500  4 Mg 2.84, 4 Lu 2.84
Mn 0.2500 0.7500 0.7500  4 Mg 2.84, 4 Lu 2.84
Mn 0.7500 0.2500 0.7500  4 Mg 2.84, 4 Lu 2.84
Mn 0.7500 0.7500 0.2500  4 Mg 2.84, 4 Lu 2.84
Ru 0.2500 0.2500 0.7500  4 Mg 2.84, 4 Lu 2.84
Ru 0.2500 0.7500 0.2500  4 Mg 2.84, 4 Lu 2.84
Ru 0.7500 0.2500 0.2500  4 Mg 2.84, 4 Lu 2.84
Ru 0.7500 0.7500 0.7500  4 Lu 2.84, 4 Mg 2.84

Calculated values
Formation energy ... -20 meV/atom
SG ... F-43m
Volume ... 17.56 Å³/atom

---

LuMgMnS4 after structural relaxation. Source: Alexandria via LeMat-Bulk, functional PBE-GGA.

a = 7.3565 Å, b = 7.3565 Å, c = 7.6482 Å
α = 118.64°, β = 118.64°, γ = 90.19°
With the nearest neighbours (Å) after each atom.
Atoms (fractional coordinates):
Lu 0.0000 0.0000 0.0000  6 S 2.64-2.68
Lu 0.0000 0.0000 0.5000  6 S 2.64-2.68
Mg 0.3816 0.6184 0.7500  4 S 2.46-2.49
Mg 0.6184 0.3816 0.2500  4 S 2.46-2.49
Mn 0.0000 0.5000 0.0000  4 S 2.39-2.40
Mn 0.5000 0.0000 0.5000  4 S 2.39-2.40
S 0.2213 0.2611 0.9753  1 Mn 2.40, 1 Mg 2.46, 2 Lu 2.64-2.68
S 0.2376 0.7310 0.0090  1 Mn 2.39, 1 Mg 2.49, 1 Lu 2.65
S 0.2611 0.2213 0.4753  1 Mn 2.40, 1 Mg 2.46, 2 Lu 2.64-2.68
S 0.2690 0.7624 0.4910  1 Mn 2.39, 1 Mg 2.49, 1 Lu 2.65
S 0.7310 0.2376 0.5090  1 Mn 2.39, 1 Mg 2.49, 1 Lu 2.65
S 0.7389 0.7787 0.5247  1 Mn 2.40, 1 Mg 2.46, 2 Lu 2.64-2.68
S 0.7624 0.2690 0.9910  1 Mn 2.39, 1 Mg 2.49, 1 Lu 2.65
S 0.7787 0.7389 0.0247  1 Mn 2.40, 1 Mg 2.46, 2 Lu 2.64-2.68

Calculated values
SG ... C2/c
Energy relative to the elements, uncorrected ... -1.29 eV/atom
Volume ... 21.70 Å³/atom

---

> Number 1 is which compound?

LuMg3

---

> Number 3 is which compound?

Lu3Mg

---

What did the tenth record say?
LuMgMnS4 after structural relaxation. Source: Alexandria via LeMat-Bulk, functional PBE-GGA.

a = 7.3565 Å, b = 7.3565 Å, c = 7.6482 Å
α = 118.64°, β = 118.64°, γ = 90.19°
With the nearest neighbours (Å) after each atom.
Atoms (fractional coordinates):
Lu 0.0000 0.0000 0.0000  6 S 2.64-2.68
Lu 0.0000 0.0000 0.5000  6 S 2.64-2.68
Mg 0.3816 0.6184 0.7500  4 S 2.46-2.49
Mg 0.6184 0.3816 0.2500  4 S 2.46-2.49
Mn 0.0000 0.5000 0.0000  4 S 2.39-2.40
Mn 0.5000 0.0000 0.5000  4 S 2.39-2.40
S 0.2213 0.2611 0.9753  1 Mn 2.40, 1 Mg 2.46, 2 Lu 2.64-2.68
S 0.2376 0.7310 0.0090  1 Mn 2.39, 1 Mg 2.49, 1 Lu 2.65
S 0.2611 0.2213 0.4753  1 Mn 2.40, 1 Mg 2.46, 2 Lu 2.64-2.68
S 0.2690 0.7624 0.4910  1 Mn 2.39, 1 Mg 2.49, 1 Lu 2.65
S 0.7310 0.2376 0.5090  1 Mn 2.39, 1 Mg 2.49, 1 Lu 2.65
S 0.7389 0.7787 0.5247  1 Mn 2.40, 1 Mg 2.46, 2 Lu 2.64-2.68
S 0.7624 0.2690 0.9910  1 Mn 2.39, 1 Mg 2.49, 1 Lu 2.65
S 0.7787 0.7389 0.0247  1 Mn 2.40, 1 Mg 2.46, 2 Lu 2.64-2.68

Calculated values
SG ... C2/c
Energy relative to the elements, uncorrected ... -1.29 eV/atom
Volume ... 21.70 Å³/atom